Material: K2RbLaV2O8
Method: DFT, SCAN
State: single point on PBEsol structure

Output
SG: P-3m1
ΔE_f (raw): -2.7911 eV per atom

Cell: 6.064 6.064 7.749 Å, 90.00 90.00 120.00°
Element x y z (fractional)
K 0.333 0.667 0.194
K 0.667 0.333 0.806
Rb 0.000 0.000 0.500
La 0.000 0.000 0.000
V 0.333 0.667 0.736
V 0.667 0.333 0.264
O 0.178 0.357 0.814
O 0.178 0.822 0.814
O 0.333 0.667 0.522
O 0.357 0.178 0.186
O 0.643 0.822 0.814
O 0.667 0.333 0.478
O 0.822 0.178 0.186
O 0.822 0.643 0.186



Material: CoPt5
Method: DFT, SCAN
State: single point on PBEsol structure

Output
ΔE_f: -0.006 eV per atom
SG: Amm2

Cell: 4.534 7.176 7.176 Å, 21.81 90.00 90.00°
Element x y z (fractional)
Co 0.000 0.000 0.000
Pt 0.000 0.340 0.340
Pt 0.000 0.660 0.660
Pt 0.500 0.223 0.223
Pt 0.500 0.554 0.554
Pt 0.500 0.891 0.891



Material: MoRuPt
Method: DFT, SCAN
State: single point on PBEsol structure

Output
ΔE_f: -0.160 eV per atom
energy above the lowest structure with this stoichiometry: 15 meV per atom
SG: I4mm

Cell: 6.113 6.113 6.113 Å, 154.12 154.12 36.92°
Element x y z (fractional)
Mo 0.000 0.000 0.000
Ru 0.346 0.346 0.000
Pt 0.672 0.672 0.000



Material: Ba3ReCl
Method: DFT, SCAN
State: single point on PBEsol structure

Output
SG: Pm-3m
ΔE_f (raw): 0.3480 eV per atom

Cell: 5.784 5.784 5.784 Å, 90.00 90.00 90.00°
Element x y z (fractional)
Ba 0.000 0.000 0.500
Ba 0.000 0.500 0.000
Ba 0.500 0.000 0.000
Re 0.500 0.500 0.500
Cl 0.000 0.000 0.000



Material: ZnTc3Se
Method: DFT, SCAN
State: single point on PBEsol structure

Output
SG: Pm-3m
ΔE_f (raw): 1.8491 eV per atom

Cell: 4.479 4.479 4.479 Å, 90.00 90.00 90.00°
Element x y z (fractional)
Zn 0.000 0.000 0.000
Tc 0.000 0.000 0.500
Tc 0.000 0.500 0.000
Tc 0.500 0.000 0.000
Se 0.500 0.500 0.500



Material: Ca2ReTc
Method: DFT, SCAN
State: single point on PBEsol structure

Output
ΔE_f: 0.792 eV per atom
energy above the lowest structure with this stoichiometry: 6 meV per atom
SG: Pmmm

Cell: 3.533 4.179 4.959 Å, 90.00 90.00 90.00°
Element x y z (fractional)
Ca 0.000 0.000 0.000
Ca 0.500 0.500 0.000
Re 0.000 0.500 0.500
Tc 0.500 0.000 0.500



Material: Ca4AlZn43
Method: DFT, SCAN
State: single point on PBEsol structure

Output
ΔE_f: -0.220 eV per atom
SG: C222

Cell: 8.119 8.119 14.769 Å, 90.00 90.00 131.19°
Element x y z (fractional)
Ca 0.000 0.000 0.000
Ca 0.000 0.500 0.250
Ca 0.500 0.000 0.750
Ca 0.500 0.500 0.500
Al 0.000 0.000 0.500
Zn 0.000 0.252 0.626
Zn 0.000 0.500 0.750
Zn 0.000 0.748 0.626
Zn 0.033 0.361 0.458
Zn 0.033 0.861 0.793
Zn 0.139 0.467 0.042
Zn 0.139 0.967 0.207
Zn 0.155 0.239 0.336
Zn 0.155 0.738 0.914
Zn 0.239 0.155 0.664
Zn 0.240 0.656 0.587
Zn 0.250 0.500 0.875
Zn 0.252 0.000 0.374
Zn 0.261 0.345 0.163
Zn 0.262 0.845 0.086
Zn 0.344 0.760 0.413
Zn 0.345 0.261 0.837
Zn 0.361 0.033 0.542
Zn 0.361 0.534 0.708
Zn 0.466 0.639 0.292
Zn 0.467 0.139 0.958
Zn 0.500 0.000 0.250
Zn 0.500 0.250 0.125
Zn 0.500 0.500 0.000
Zn 0.500 0.750 0.125
Zn 0.533 0.861 0.958
Zn 0.534 0.361 0.292
Zn 0.639 0.466 0.708
Zn 0.639 0.967 0.542
Zn 0.655 0.739 0.837
Zn 0.656 0.240 0.413
Zn 0.738 0.155 0.086
Zn 0.739 0.655 0.163
Zn 0.748 0.000 0.374
Zn 0.750 0.500 0.875
Zn 0.760 0.344 0.587
Zn 0.761 0.845 0.664
Zn 0.845 0.262 0.914
Zn 0.845 0.761 0.336
Zn 0.861 0.033 0.207
Zn 0.861 0.533 0.042
Zn 0.967 0.139 0.793
Zn 0.967 0.639 0.458



Material: TlHgSb
Method: DFT, SCAN
State: single point on PBEsol structure

Output
SG: F-43m
ΔE_f (raw): 0.0510 eV per atom

Cell: 5.045 5.045 5.045 Å, 60.00 60.00 60.00°
Element x y z (fractional)
Tl 0.000 0.000 0.000
Hg 0.500 0.500 0.500
Sb 0.750 0.750 0.750



Material: Zr2ZnSe
Method: DFT, SCAN
State: single point on PBEsol structure

Output
energy above the lowest structure with this stoichiometry: 0 meV per atom
SG: Cmmm
ΔE_f (raw): -0.6262 eV per atom

Cell: 4.753 4.753 3.257 Å, 90.00 90.00 100.68°
Element x y z (fractional)
Zr 0.000 0.500 0.000
Zr 0.500 0.000 0.000
Zn 0.000 0.000 0.500
Se 0.500 0.500 0.500



Material: Ge2PbI2
Method: DFT, SCAN
State: single point on PBEsol structure

Output
SG: I4/mmm
ΔE_f (raw): 0.3233 eV per atom

Cell: 5.937 5.937 5.937 Å, 119.95 119.95 90.09°
Element x y z (fractional)
Ge 0.148 0.148 0.000
Ge 0.852 0.852 0.000
Pb 0.500 0.500 0.000
I 0.250 0.750 0.500
I 0.750 0.250 0.500



Material: CuAs3C
Method: DFT, SCAN
State: single point on PBEsol structure

Output
ΔE_f: 1.925 eV per atom
SG: Pm-3m

Cell: 4.551 4.551 4.551 Å, 90.00 90.00 90.00°
Element x y z (fractional)
Cu 0.000 0.000 0.000
As 0.000 0.000 0.500
As 0.000 0.500 0.000
As 0.500 0.000 0.000
C 0.500 0.500 0.500



Material: SrLaTe2
Method: DFT, SCAN
State: single point on PBEsol structure

Output
energy above the lowest structure with this stoichiometry: 0 meV per atom
SG: P4/mmm
ΔE_f (raw): -1.8153 eV per atom

Cell: 4.571 4.571 6.472 Å, 90.00 90.00 90.00°
Element x y z (fractional)
Sr 0.000 0.000 0.000
La 0.500 0.500 0.500
Te 0.000 0.000 0.500
Te 0.500 0.500 0.000



Material: BaTa3F
Method: DFT, SCAN
State: single point on PBEsol structure

Output
SG: Pm-3m
ΔE_f (raw): 0.8907 eV per atom

Cell: 4.580 4.580 4.580 Å, 90.00 90.00 90.00°
Element x y z (fractional)
Ba 0.000 0.000 0.000
Ta 0.000 0.500 0.500
Ta 0.500 0.000 0.500
Ta 0.500 0.500 0.000
F 0.500 0.500 0.500



Material: NbBiMoBr2
Method: DFT, SCAN
State: single point on PBEsol structure

Output
SG: P4/mmm
ΔE_f (raw): 0.8581 eV per atom

Cell: 4.819 4.819 5.747 Å, 90.00 90.00 90.00°
Element x y z (fractional)
Nb 0.000 0.000 0.000
Bi 0.500 0.500 0.000
Mo 0.500 0.500 0.500
Br 0.000 0.500 0.500
Br 0.500 0.000 0.500



Material: ScCd2Rh
Method: DFT, SCAN
State: single point on PBEsol structure

Output
ΔE_f: -0.491 eV per atom
SG: I4/mmm

Cell: 5.200 5.200 5.200 Å, 134.51 134.51 66.29°
Element x y z (fractional)
Sc 0.000 0.000 0.000
Cd 0.250 0.750 0.500
Cd 0.750 0.250 0.500
Rh 0.500 0.500 0.000



Material: CaTlCr2
Method: DFT, SCAN
State: single point on PBEsol structure

Output
ΔE_f: 0.089 eV per atom
energy above the lowest structure with this stoichiometry: 0 meV per atom
SG: P4mm

Cell: 3.177 3.177 7.501 Å, 90.00 90.00 90.00°
Element x y z (fractional)
Ca 0.000 0.000 0.000
Tl 0.500 0.500 0.686
Cr 0.000 0.000 0.427
Cr 0.500 0.500 0.306



Material: YZr2Ru
Method: DFT, SCAN
State: single point on PBEsol structure

Output
ΔE_f: -0.338 eV per atom
energy above the lowest structure with this stoichiometry: 0 meV per atom
SG: Immm

Cell: 5.882 5.882 5.882 Å, 147.14 129.31 61.73°
Element x y z (fractional)
Y 0.000 0.000 0.000
Zr 0.291 0.791 0.500
Zr 0.709 0.209 0.500
Ru 0.500 0.500 0.000



Material: RbLiRu2
Method: DFT, SCAN
State: single point on PBEsol structure

Output
ΔE_f: 1.789 eV per atom
SG: Fm-3m

Cell: 4.590 4.590 4.590 Å, 60.00 60.00 60.00°
Element x y z (fractional)
Rb 0.000 0.000 0.000
Li 0.500 0.500 0.500
Ru 0.250 0.250 0.250
Ru 0.750 0.750 0.750



Material: RuAuS2N
Method: DFT, SCAN
State: single point on PBEsol structure

Output
SG: P4/mmm
ΔE_f (raw): 0.6199 eV per atom

Cell: 4.727 4.727 3.582 Å, 90.00 90.00 90.00°
Element x y z (fractional)
Ru 0.000 0.000 0.000
Au 0.500 0.500 0.500
S 0.000 0.500 0.000
S 0.500 0.000 0.000
N 0.000 0.000 0.500



Material: Tc2PtW
Method: DFT, SCAN
State: single point on PBEsol structure

Output
ΔE_f: 0.100 eV per atom
energy above the lowest structure with this stoichiometry: 337 meV per atom
SG: C2/m

Cell: 5.334 5.334 2.654 Å, 102.75 102.75 119.46°
Element x y z (fractional)
Tc 0.000 0.500 0.000
Tc 0.500 0.000 0.000
Pt 0.000 0.000 0.500
W 0.500 0.500 0.500



Material: Fe2GeB2
Method: DFT, SCAN
State: single point on PBEsol structure

Output
ΔE_f: 0.287 eV per atom
SG: I4/mmm

Cell: 4.524 4.524 4.524 Å, 134.05 134.05 67.01°
Element x y z (fractional)
Fe 0.250 0.750 0.500
Fe 0.750 0.250 0.500
Ge 0.000 0.000 0.000
B 0.384 0.384 0.000
B 0.616 0.616 0.000



Material: Ir2WSe
Method: DFT, SCAN
State: single point on PBEsol structure

Output
energy above the lowest structure with this stoichiometry: 291 meV per atom
SG: Cmm2
ΔE_f (raw): 0.6655 eV per atom

Cell: 2.765 2.765 9.346 Å, 90.00 90.00 119.74°
Element x y z (fractional)
Ir 0.000 0.000 0.000
Ir 0.500 0.500 0.251
W 0.500 0.500 0.764
Se 0.000 0.000 0.503



Material: CuRh5
Method: DFT, SCAN
State: single point on PBEsol structure

Output
ΔE_f: 0.079 eV per atom
energy above the lowest structure with this stoichiometry: 9 meV per atom
SG: Amm2

Cell: 4.310 7.020 7.020 Å, 22.00 90.00 90.00°
Element x y z (fractional)
Cu 0.000 0.000 0.000
Rh 0.000 0.335 0.335
Rh 0.000 0.666 0.666
Rh 0.500 0.221 0.221
Rh 0.500 0.554 0.554
Rh 0.500 0.891 0.891



Material: FeHgW3
Method: DFT, SCAN
State: single point on PBEsol structure

Output
ΔE_f: 3.463 eV per atom
SG: Pm-3m

Cell: 4.830 4.830 4.830 Å, 90.00 90.00 90.00°
Element x y z (fractional)
Fe 0.000 0.000 0.000
Hg 0.500 0.500 0.500
W 0.000 0.500 0.500
W 0.500 0.000 0.500
W 0.500 0.500 0.000



Material: ZrCuMo3
Method: DFT, SCAN
State: single point on PBEsol structure

Output
ΔE_f: 2.327 eV per atom
SG: Pm-3m

Cell: 4.645 4.645 4.645 Å, 90.00 90.00 90.00°
Element x y z (fractional)
Zr 0.000 0.000 0.000
Cu 0.500 0.500 0.500
Mo 0.000 0.000 0.500
Mo 0.000 0.500 0.000
Mo 0.500 0.000 0.000



Material: Fe5Co
Method: DFT, SCAN
State: single point on PBEsol structure

Output
ΔE_f: -0.100 eV per atom
SG: P4/mmm

Cell: 2.786 2.786 8.431 Å, 90.00 90.00 90.00°
Element x y z (fractional)
Fe 0.000 0.000 0.000
Fe 0.000 0.000 0.334
Fe 0.000 0.000 0.666
Fe 0.500 0.500 0.166
Fe 0.500 0.500 0.834
Co 0.500 0.500 0.500



Material: In3Pb
Method: DFT, SCAN
State: single point on PBEsol structure

Output
ΔE_f: 0.080 eV per atom
SG: Cmmm

Cell: 3.314 3.314 10.479 Å, 90.00 90.00 112.16°
Element x y z (fractional)
In 0.000 0.000 0.000
In 0.500 0.500 0.241
In 0.500 0.500 0.759
Pb 0.000 0.000 0.500



Result set for VASP energy: -14.6002; -61.3841; -46.7949; -39.1972; -25.9056; -30.5791; -13.2944; -59.2107; -24.3740; -37.1646; -15.2494; -36.7859; -47.6773; -36.2446; -27.7007; -29.6092; -31.3543; -21.4065; -25.8862; -52.3998; -13.7543; -57.3257; -30.5967; -55.6086; -27.7833; -18.0915; -43.9050 eV/atom, one per record in the order listed.